A plane-wave DFT calculation with PBE-GGA was carried out for crystalline ScCoI2N at its relaxed geometry.

a b c (Å): 5.8528 5.8528 3.8872
angles (deg): 90.00 90.00 90.00
Closest atoms and distances in Å follow each position.
Element x y z (fractional)
1 I 0.0000 0.5000 0.0000  2 Sc 2.93
2 I 0.5000 0.0000 0.0000  2 Sc 2.93
3 Sc 0.0000 0.0000 0.0000  2 N 1.94
4 Co 0.5000 0.5000 0.5000  8 I 3.51, 2 Co 3.89
5 N 0.0000 0.0000 0.5000  2 Sc 1.94

Energy above the lowest structure with this stoichiometry: 269 meV per atom
Fermi-level density of states: 7.90 states/eV/cell
Symmetry: P4/mmm (123)